Computed, not measured: Y6HoEr3 after structural relaxation at the PBE-GGA level of DFT.

Calculated values
The energy above the most stable polymorph in this dataset comes out at 27.3 meV per atom. As for the calculated formation energy: 145.5 meV per atom. The calculation puts the spin magnetization at 0.00 μB per formula unit.

Unit cell a=10.950 b=18.894 c=6.223 alpha=90.00 beta=90.00 gamma=90.00
Space group Cmc2_1 (No. 36)
Unique sites:
Y (0.000, 0.048, 0.000)
Y (0.000, 0.280, 0.744)
Y (0.164, 0.455, 0.628)
Y (0.245, 0.291, 0.448)
Ho (0.000, 0.206, 0.241)
Er (0.000, 0.389, 0.163)
Er (0.171, 0.110, 0.544)

Computed, not measured: Y2Ho5Er4 after structural relaxation at the PBE-GGA level of DFT.

Calculated values
The energy above the most stable polymorph in this dataset comes out at 0.0 meV per atom. As for the calculated formation energy: 141.8 meV per atom. The calculation puts the spin magnetization at 0.00 μB per formula unit.

Unit cell a=10.939 b=7.305 c=9.126 alpha=90.00 beta=106.53 gamma=90.00
Space group C2/m (No. 12)
Unique sites:
Y (0.145, 0.000, 0.123)
Ho (0.000, 0.000, 0.500)
Ho (0.071, 0.280, 0.779)
Er (0.167, 0.500, 0.120)
Er (0.177, 0.500, 0.496)

Computed, not measured: YHo6Er8 after structural relaxation at the PBE-GGA level of DFT.

Calculated values
The energy above the most stable polymorph in this dataset comes out at 106.1 meV per atom. As for the calculated formation energy: 239.5 meV per atom. The calculation puts the spin magnetization at 0.00 μB per formula unit.

Unit cell a=9.3342 b=9.3342 c=6.4367 alpha=90.00 beta=90.00 gamma=120.00
Space group P-3 (No. 147)
Unique sites:
Y (0.0000, 0.0000, 0.0000)
Ho (0.0967, 0.6810, 0.0908)
Er (0.0235, 0.3360, 0.4035)
Er (0.3333, 0.6667, 0.6627)

Computed, not measured: Y3Ho4Er8 after structural relaxation at the PBE-GGA level of DFT.

Calculated values
As for the calculated formation energy: 411.7 meV per atom. The calculation puts the spin magnetization at 0.05 μB per formula unit.

Unit cell a=13.255 b=12.800 c=6.675 alpha=90.00 beta=120.19 gamma=90.00
Space group C2/m (No. 12)
Unique sites:
Y (0.000, 0.000, 0.000)
Y (0.250, 0.250, 0.000)
Ho (0.000, 0.000, 0.500)
Ho (0.000, 0.500, 0.000)
Ho (0.250, 0.250, 0.500)
Er (0.000, 0.254, 0.000)
Er (0.000, 0.362, 0.500)
Er (0.231, 0.500, 0.969)
Er (0.233, 0.500, 0.491)

no.,calculated total energy (eV for the cell shown)
1,-222.38
2,-105.02
3,-66.84
4,-136.06